This record from Alexandria via LeMat-Bulk describes crystalline Pm2GaH at its relaxed geometry. The functional is PBE.

Final energy: -71.8 eV for the cell shown
Spin magnetization: 0.0000 μB/atom

Cell and atoms, written as CIF:
```
data_Pm2GaH
_space_group_name_H-M_alt 'P 1 21/c 1'
_space_group_IT_number 14
_cell_length_a 6.4519
_cell_length_b 6.9260
_cell_length_c 8.6454
_cell_angle_alpha 90.00
_cell_angle_beta 109.62
_cell_angle_gamma 90.00
loop_
_space_group_symop_operation_xyz
'x,y,z'
'-x,-y,-z'
'-x,y+1/2,-z+1/2'
'x,-y+1/2,z+1/2'
loop_
_atom_site_label
_atom_site_type_symbol
_atom_site_fract_x
_atom_site_fract_y
_atom_site_fract_z
Pm1 Pm 0.0001 0.0004 0.2485
Pm2 Pm 0.4194 0.2480 0.6050
Ga1 Ga 0.2175 0.7476 0.0547
H1 H 0.2601 0.2493 0.8149
```



This record from Alexandria via LeMat-Bulk describes crystalline Sr2EuAl at its relaxed geometry. The functional is PBE.

Spin magnetization: 1.8696 μB/atom
Energy of formation: 0.09 eV/atom

Cell and atoms, written as CIF:
```
data_Sr2EuAl
_space_group_name_H-M_alt 'R -3 m'
_space_group_IT_number 166
_space_group_name_Hall '-R 3 2"'
_cell_length_a 4.0623
_cell_length_b 4.0623
_cell_length_c 35.4605
_cell_angle_alpha 90.00
_cell_angle_beta 90.00
_cell_angle_gamma 120.00
loop_
_atom_site_label
_atom_site_type_symbol
_atom_site_fract_x
_atom_site_fract_y
_atom_site_fract_z
Sr1 Sr 0.0000 0.0000 0.2341
Eu1 Eu 0.0000 0.0000 0.0000
Al1 Al 0.0000 0.0000 0.5000
```



This record from Alexandria via LeMat-Bulk describes crystalline Be2WAu at its relaxed geometry. The functional is PBE.

Spin magnetization: 0.0001 μB/atom
Energy of formation: 0.21 eV/atom

Cell and atoms, written as CIF:
```
data_Be2WAu
_space_group_name_H-M_alt 'C 1 m 1'
_space_group_IT_number 8
_cell_length_a 9.1156
_cell_length_b 2.6583
_cell_length_c 4.4253
_cell_angle_alpha 90.00
_cell_angle_beta 107.66
_cell_angle_gamma 90.00
loop_
_space_group_symop_operation_xyz
'x,y,z'
'x,-y,z'
'x+1/2,y+1/2,z'
'x+1/2,-y+1/2,z'
loop_
_atom_site_label
_atom_site_type_symbol
_atom_site_fract_x
_atom_site_fract_y
_atom_site_fract_z
Be1 Be 0.0000 0.0000 0.0000
Be2 Be 0.2080 0.5000 0.3157
W1 W 0.4627 0.0000 0.4596
Au1 Au 0.2438 0.0000 0.8414
```



This record from Alexandria via LeMat-Bulk describes crystalline Ho3Er12Al at its relaxed geometry. The functional is PBE.

Spin magnetization: 0.0000 μB/atom
Energy of formation: -0.02 eV/atom

Cell and atoms, written as CIF:
```
data_Ho3Er12Al
_space_group_name_H-M_alt 'P 4/m m m'
_space_group_IT_number 123
_space_group_name_Hall '-P 4 2'
_cell_length_a 4.8883
_cell_length_b 4.8883
_cell_length_c 19.7934
_cell_angle_alpha 90.00
_cell_angle_beta 90.00
_cell_angle_gamma 90.00
loop_
_atom_site_label
_atom_site_type_symbol
_atom_site_fract_x
_atom_site_fract_y
_atom_site_fract_z
Ho1 Ho 0.0000 0.0000 0.0000
Ho2 Ho 0.0000 0.0000 0.2537
Er1 Er 0.0000 0.5000 0.1278
Er2 Er 0.0000 0.5000 0.3825
Er3 Er 0.5000 0.5000 0.0000
Er4 Er 0.5000 0.5000 0.2574
Er5 Er 0.5000 0.5000 0.5000
Al1 Al 0.0000 0.0000 0.5000
```



Calculated density list, top to bottom, in Mg/m³: 6.6, 3.5, 13.0, 8.9